Entry 1:
Here is an optimized crystal structure of InH2Ru from Alexandria. Energies are from PBE.

V	122.8	Å³ per cell
size of the total moment	0.00	μB/f.u.

abc: 3.1545 3.1545 14.2546
angles: 90.00 90.00 120.00
Space group R-3m (No. 166, hexagonal axes)
One atom of each set of equivalent atoms:
In: 0.0000 0.0000 0.0000 x3
H: 0.0000 0.0000 0.2003 x6
Ru: 0.0000 0.0000 0.5000 x3

---

Entry 2:
Here is an optimized crystal structure of Tb5NdSc from Alexandria. Energies are from PBE.

V	444.5	Å³ per cell
size of the total moment	0.00	μB/f.u.
energy of formation	0.0687	eV/atom

abc: 9.268 3.577 13.782
angles: 90.00 103.44 90.00
Space group P2_1/m (No. 11)
One atom of each set of equivalent atoms:
Tb: 0.010 0.250 0.375 x2
Tb: 0.203 0.750 0.881 x2
Tb: 0.333 0.750 0.507 x2
Tb: 0.349 0.250 0.720 x2
Tb: 0.417 0.250 0.082 x2
Nd: 0.110 0.750 0.133 x2
Sc: 0.350 0.250 0.307 x2

---

Entry 3:
Here is an optimized crystal structure of Ba2V2Bi from Alexandria. Energies are from PBE.

V	334.1	Å³ per cell
size of the total moment	0.31	μB/f.u.
energy of formation	0.7571	eV/atom

abc: 5.085 5.085 12.923
angles: 90.00 90.00 90.00
Space group I4/mmm (No. 139)
One atom of each set of equivalent atoms:
Ba: 0.000 0.500 0.250 x4
V: 0.000 0.000 0.069 x4
Bi: 0.000 0.000 0.500 x2

---

Entry 4:
Here is an optimized crystal structure of TaMnCd from Alexandria. Energies are from PBE.

V	253.6	Å³ per cell
size of the total moment	1.84	μB/f.u.
energy of formation	1.1730	eV/atom

abc: 6.330 6.330 6.330
angles: 90.00 90.00 90.00
Space group F-43m (No. 216)
One atom of each set of equivalent atoms:
Ta: 0.000 0.000 0.000 x4
Mn: 0.250 0.250 0.750 x4
Cd: 0.250 0.250 0.250 x4

---

Entry 5:
Here is an optimized crystal structure of PtWCl2 from Alexandria. Energies are from PBE.

V	186.4	Å³ per cell
energy relative to the elements, uncorrected	-0.1	eV/f.u.
size of the total moment	0.00	μB/f.u.

abc: 2.881 4.689 13.802
angles: 90.00 90.00 90.00
Space group Immm (No. 71)
One atom of each set of equivalent atoms:
Pt: 0.000 0.000 0.000 x2
W: 0.000 0.000 0.500 x2
Cl: 0.000 0.500 0.145 x4

---

Entry 6:
Here is an optimized crystal structure of Ca2MgAl4Au3 from Alexandria. Energies are from PBE.

V	209.1	Å³ per cell
size of the total moment	0.00	μB/f.u.
energy of formation	-0.5455	eV/atom

abc: 4.266 4.266 11.491
angles: 90.00 90.00 90.00
Space group P-4m2 (No. 115)
One atom of each set of equivalent atoms:
Ca: 0.000 0.500 0.242 x2
Mg: 0.000 0.000 0.500 x1
Al: 0.000 0.000 0.000 x1
Al: 0.000 0.500 0.648 x2
Al: 0.500 0.500 0.000 x1
Au: 0.000 0.500 0.868 x2
Au: 0.500 0.500 0.500 x1

---

Entry 7:
Here is an optimized crystal structure of BaCuIr2 from Alexandria. Energies are from PBE.

V	221.0	Å³ per cell
size of the total moment	0.00	μB/f.u.
energy of formation	0.7838	eV/atom

abc: 2.9822 2.9822 28.6966
angles: 90.00 90.00 120.00
Space group R-3m (No. 166, hexagonal axes)
One atom of each set of equivalent atoms:
Ba: 0.0000 0.0000 0.0000 x3
Cu: 0.0000 0.0000 0.5000 x3
Ir: 0.0000 0.0000 0.2341 x6

---

Listing total DFT energy (no corrections) for the structures above in their given order: -4.535, -4.824, -4.436, -6.139, -5.702, -3.585, -5.151 eV/atom.